1.
DFT (GGA-PBE) results for YGa2Cu8 after structural relaxation.

POSCAR file:
```
YGa2Cu8
1.0
-3.0400 0.6336 -5.3829
-1.6493 -5.9872 0.2268
-3.9670 1.1829 2.3796
Cu Ga Y
8 2 1
direct
0.1969 0.8031 0.2514
0.8031 0.1969 0.2514
0.1969 0.8031 0.7486
0.1969 0.1969 0.2514
0.8031 0.1969 0.7486
0.8031 0.8031 0.2514
0.1969 0.1969 0.7486
0.8031 0.8031 0.7486
0.0000 0.5000 0.0000
0.5000 0.0000 0.0000
0.5000 0.5000 0.5000
```


2.
DFT (GGA-PBE) results for Y3Ga7Cu4 after structural relaxation.

POSCAR file:
```
Y3Ga7Cu4
1.0
8.0578 -0.0051 -0.0250
6.9574 4.0649 -0.0250
5.4845 1.4829 7.4876
Ga Y Cu
7 3 4
direct
0.8599 0.8599 0.4186
0.1401 0.1401 0.5814
0.6566 0.6566 0.7249
0.3434 0.3434 0.2751
0.1373 0.1373 0.1343
0.8627 0.8627 0.8657
0.0000 0.0000 0.5000
0.0000 0.0000 0.0000
0.6946 0.6946 0.2970
0.3054 0.3054 0.7030
0.6598 0.6598 0.9827
0.4960 0.4960 0.3037
0.5040 0.5040 0.6963
0.3402 0.3402 0.0173
```


3.
DFT (GGA-PBE) results for YGaCu2 after structural relaxation.

POSCAR file:
```
YGaCu2
1.0
5.0428 -1.7140 -2.8071
-1.5992 5.0804 2.8071
-3.5139 0.1500 4.8864
Cu Y Ga
2 1 1
direct
0.0000 0.7735 0.7735
0.0000 0.2265 0.2265
0.0000 0.5000 0.5000
0.0000 0.0000 0.0000
```


4.
DFT (GGA-PBE) results for YGa2Cu2 after structural relaxation.

POSCAR file:
```
YGa2Cu2
1.0
7.6191 0.0000 0.0000
0.0000 7.6191 0.0000
0.0000 0.0000 2.8853
Cu Ga Y
4 4 2
direct
0.6210 0.1210 0.0000
0.3790 0.8790 0.0000
0.1210 0.3790 0.0000
0.8790 0.6210 0.0000
0.1699 0.6699 0.5000
0.3301 0.1699 0.5000
0.8301 0.3301 0.5000
0.6699 0.8301 0.5000
0.0000 0.0000 0.0000
0.5000 0.5000 0.0000
```


5.
DFT (GGA-PBE) results for Y3Ga3Cu8 after structural relaxation.

POSCAR file:
```
Y3Ga3Cu8
1.0
4.1711 0.0000 0.0000
2.0856 7.6781 0.1854
2.0856 2.2688 7.3375
Y Ga Cu
3 3 8
direct
0.5000 0.5000 0.5000
0.7999 0.2001 0.2001
0.2001 0.7999 0.7999
0.0000 0.7825 0.2175
0.5000 0.0000 0.0000
0.0000 0.2175 0.7825
0.3702 0.3479 0.9116
0.3702 0.9116 0.3479
0.6298 0.0884 0.6521
0.1699 0.4718 0.1884
0.8301 0.5282 0.8116
0.8301 0.8116 0.5282
0.6298 0.6521 0.0884
0.1699 0.1884 0.4718
```


6.
DFT (GGA-PBE) results for YGaCu5 after structural relaxation.

POSCAR file:
```
YGaCu5
1.0
5.0417 0.0000 0.0000
0.0000 8.0852 0.0000
0.0000 0.0000 10.1700
Cu Y Ga
20 4 4
direct
0.2500 0.4341 0.4093
0.7500 0.0659 0.9093
0.7500 0.9084 0.5163
0.7500 0.8179 0.7537
0.0053 0.5660 0.8065
0.5053 0.4340 0.1935
0.7500 0.3179 0.7463
0.5053 0.9340 0.3065
0.2500 0.6821 0.2537
0.9947 0.4340 0.1935
0.4947 0.5660 0.8065
0.4947 0.0660 0.6935
0.0053 0.0660 0.6935
0.7500 0.4084 0.9837
0.2500 0.0916 0.4837
0.2500 0.1821 0.2463
0.7500 0.5659 0.5907
0.2500 0.9341 0.0907
0.9947 0.9340 0.3065
0.2500 0.5916 0.0163
0.7500 0.2580 0.4399
0.2500 0.7420 0.5601
0.7500 0.7580 0.0601
0.2500 0.2420 0.9399
0.2500 0.8551 0.8549
0.2500 0.3551 0.6451
0.7500 0.6449 0.3549
0.7500 0.1449 0.1451
```


7.
YGa4Cu2 | Alexandria via LeMat-Bulk | GGA-PBE | relaxed; E above lowest polymorph = 9.8 kJ per mole of atoms
1.0
4.2231 0.0000 0.0000
0.0000 4.2267 0.0000
0.0000 -2.1134 6.8706
Y Cu Ga
1 2 4
direct
0.0000 0.0000 0.0000
0.5000 0.5866 0.1731
0.5000 0.4134 0.8269
0.5000 0.1797 0.3595
0.0000 0.6812 0.3625
0.0000 0.3188 0.6375
0.5000 0.8203 0.6405


8.
DFT (GGA-PBE) results for YGaCu2 after structural relaxation.

POSCAR file:
```
YGaCu2
1.0
-0.7686 -0.1476 4.3539
-2.6847 -3.4657 -0.5914
4.7507 -6.9895 2.8490
Cu Y Ga
4 2 2
direct
0.4663 0.1250 0.2500
0.8750 0.7163 0.7500
0.3750 0.5337 0.7500
0.2837 0.6250 0.2500
0.0000 0.0000 0.0000
0.7500 0.2500 0.5000
0.5000 0.5000 0.0000
0.2500 0.7500 0.5000
```


9.
YGa2Cu4 | Alexandria via LeMat-Bulk | GGA-PBE | relaxed; E above lowest polymorph = 44.5 kJ per mole of atoms
1.0
5.7232 -0.5222 0.0000
-2.7883 5.0252 0.0000
-1.4675 -2.2515 5.0798
Cu Ga Y
4 2 1
direct
0.7271 0.5000 0.2271
0.5000 0.7271 0.2271
0.2729 0.5000 0.7729
0.5000 0.2729 0.7729
0.2500 0.7500 0.5000
0.7500 0.2500 0.5000
0.0000 0.0000 0.0000


10.
Y3GaCu2 | Alexandria via LeMat-Bulk | GGA-PBE | relaxed; E above lowest polymorph = 0.4 kJ per mole of atoms
1.0
3.4880 0.0000 0.0000
0.0000 3.4880 0.0000
0.0000 0.0000 10.7448
Cu Y Ga
2 3 1
direct
0.5000 0.5000 0.8358
0.5000 0.5000 0.1642
0.0000 0.0000 0.0000
0.0000 0.0000 0.6732
0.0000 0.0000 0.3268
0.5000 0.5000 0.5000


11.
YGa4Cu2 | Alexandria via LeMat-Bulk | GGA-PBE | relaxed; E above lowest polymorph = 0.0 kJ per mole of atoms
1.0
4.2570 0.0000 0.0000
0.0000 6.6012 0.0000
0.0000 0.0000 16.8445
Ga Cu Y
16 8 4
direct
0.7500 0.7213 0.3094
0.7500 0.6546 0.9668
0.7500 0.1778 0.8163
0.2500 0.2213 0.1906
0.7500 0.5150 0.5693
0.7500 0.3222 0.3163
0.2500 0.8222 0.1837
0.7500 0.9850 0.0693
0.2500 0.0150 0.9307
0.7500 0.8454 0.4668
0.2500 0.2787 0.6906
0.2500 0.3454 0.0332
0.2500 0.1546 0.5332
0.2500 0.4850 0.4307
0.2500 0.6778 0.6837
0.7500 0.7787 0.8094
0.7500 0.4732 0.7178
0.7500 0.2541 0.9637
0.2500 0.7541 0.5363
0.2500 0.7459 0.0363
0.7500 0.2459 0.4637
0.7500 0.0268 0.2178
0.2500 0.9732 0.7822
0.2500 0.5268 0.2822
0.7500 0.5119 0.1403
0.7500 0.9881 0.6403
0.2500 0.0119 0.3597
0.2500 0.4881 0.8597


12.
DFT (GGA-PBE) results for YGaCu after structural relaxation.

POSCAR file:
```
YGaCu
1.0
-1.6317 1.7907 3.7531
-4.2300 -0.7925 1.1975
-0.8736 -2.6055 3.5218
Ga Y Cu
1 1 1
direct
0.5000 0.5000 0.5000
0.0000 0.0000 0.0000
0.2500 0.2500 0.2500
```


Going through the records in order, we get N(E_F) values of 1.76, 5.63, 2.21, 5.34, 9.18, 14.70, 2.24, 6.57, 3.53, 3.64, 9.15, 3.77 states/eV/cell.
Going through the records in order, we get DFT formation energy values of 171, -483, 219, -170, -300, -248, -263, -71, 180, -363, -365, -349 meV/atom.